A plane-wave DFT calculation with PBEsol was carried out for an optimized crystal structure of Ba4TiAs4.

The space group is P-43n (No. 218) and the conventional cell measures 13.394, 13.394 and 13.394 Å, with angles of 90.00, 90.00 and 90.00 degrees. The asymmetric unit holds Ba at (0.093, 0.137, 0.648), Ba at (0.148, 0.148, 0.148), Ti at (0.000, 0.000, 0.000), Ti at (0.000, 0.500, 0.250), As at (0.105, 0.388, 0.648) and As at (0.106, 0.106, 0.894).

The formation energy is -9.7 eV/f.u. The volume comes out at 33.371 A^3/atom. The value obtained for the total magnetic moment is 0.0 μB per cell.